Nd4Er7Sc: optimized geometry, PBE.

Cell: 5.315 13.170 6.302 Å, 94.75 65.06 78.36°
Last column: magnetic moment on the atom in μB.
Fractional coordinates of all 12 atoms:
Nd 0.744 0.217 0.295  0.00
Nd 0.256 0.783 0.705  0.00
Nd 0.584 0.738 0.094  0.00
Nd 0.416 0.262 0.906  0.00
Er 0.834 0.900 0.432  -0.01
Er 0.166 0.100 0.568  -0.01
Er 0.961 0.628 0.450  0.00
Er 0.039 0.372 0.550  0.00
Er 0.329 0.534 0.809  0.00
Er 0.500 0.000 0.000  -0.16
Er 0.671 0.466 0.191  0.00
Sc 0.000 0.000 0.000  -0.17

Properties
E_form   0.197 eV/atom


PW2Se: optimized geometry, PBE.

Cell: 3.053 4.035 5.224 Å, 90.00 90.00 90.00°
Fractional coordinates of all 4 atoms:
P 0.500 0.500 0.000
W 0.000 0.000 0.000
W 0.500 0.000 0.500
Se 0.000 0.500 0.500

Properties
Energy above the most stable polymorph in this dataset   2.63 eV/f.u.
ΔE_f (raw)   2.7 eV per formula unit


RePPt2: optimized geometry, PBE.

Cell: 2.918 2.918 6.889 Å, 90.00 90.00 90.00°
Fractional coordinates of all 4 atoms:
Re 0.000 0.000 0.538
P 0.500 0.500 0.734
Pt 0.000 0.000 0.962
Pt 0.500 0.500 0.266

Properties
Energy above the most stable polymorph in this dataset   0.17 eV/f.u.
E_form   -0.046 eV/atom


Na2BP: optimized geometry, PBE.

Cell: 4.652 4.652 4.652 Å, 60.00 60.00 60.00°
Fractional coordinates of all 4 atoms:
P 0.500 0.500 0.500
B 0.000 0.000 0.000
Na 0.250 0.250 0.250
Na 0.750 0.750 0.750

Properties
Energy above the most stable polymorph in this dataset   0.00 eV/f.u.
E_form   0.797 eV/atom


Te2AsOs2: optimized geometry, PBE.

Cell: 7.797 7.797 3.161 Å, 90.00 90.00 90.00°
Fractional coordinates of all 10 atoms:
As 0.000 0.000 0.000
As 0.500 0.500 0.000
Te 0.156 0.656 0.500
Te 0.656 0.844 0.500
Te 0.844 0.344 0.500
Te 0.344 0.156 0.500
Os 0.366 0.866 0.000
Os 0.866 0.634 0.000
Os 0.634 0.134 0.000
Os 0.134 0.366 0.000

Properties
Energy above the most stable polymorph in this dataset   0.00 eV/f.u.
ΔE_f (raw)   3.7 eV per formula unit


MnPRu2: optimized geometry, PBE.

Cell: 7.956 7.956 7.956 Å, 20.71 20.71 20.71°
Last column: magnetic moment on the atom in μB.
Fractional coordinates of all 4 atoms:
Mn 0.500 0.500 0.500  3.48
P 0.000 0.000 0.000  0.00
Ru 0.741 0.741 0.741  0.11
Ru 0.259 0.259 0.259  0.11

Properties
Energy above the most stable polymorph in this dataset   0.79 eV/f.u.
E_form   -0.028 eV/atom


ZrS2Br4: optimized geometry, PBE.

Cell: 3.805 6.787 10.434 Å, 99.86 100.30 88.70°
Fractional coordinates of all 7 atoms:
Zr 0.000 0.000 0.000
S 0.209 0.416 0.494
S 0.791 0.584 0.506
Br 0.109 0.843 0.209
Br 0.891 0.157 0.791
Br 0.458 0.736 0.892
Br 0.542 0.264 0.108

Properties
ΔE_f (raw)   -5.7 eV per formula unit


Pm2PuAl: optimized geometry, PBE.

Cell: 4.584 4.884 4.884 Å, 90.00 90.00 90.00°
Last column: magnetic moment on the atom in μB.
Fractional coordinates of all 4 atoms:
Pm 0.000 0.000 0.500  0.14
Pm 0.000 0.500 0.000  0.14
Al 0.500 0.500 0.500  -0.03
Pu 0.500 0.000 0.000  5.50

Properties
Energy above the most stable polymorph in this dataset   0.00 eV/f.u.
E_form   -0.066 eV/atom